(1)
This record from Alexandria describes a geometry-optimized H3RuPt structure. The functional is PBE-GGA.

Cell: 3.490 3.490 3.490 Å, 90.00 90.00 90.00°
Each line ends with the local moment (μB).
Sites, in units of the cell vectors:
Ru (0.500, 0.500, 0.500)  1.53
Pt (0.000, 0.000, 0.000)  0.07
H (0.000, 0.500, 0.000)  0.00
H (0.000, 0.000, 0.500)  0.00
H (0.500, 0.000, 0.000)  0.01

Values from the calculation:
- symmetry = Pm-3m (221)
- DOS at the Fermi energy (states/eV/f.u.) = 3.4
- total energy (eV/cell) = -23.17
- density (g/cm3) = 11.7
- crystal system = cubic

---

(2)
This record from Alexandria describes a geometry-optimized DyAlSb structure. The functional is PBE-GGA.

Cell: 3.505 5.775 10.603 Å, 104.43 80.52 52.68°
Sites, in units of the cell vectors:
Sb (0.983, 0.210, 0.356)
Sb (0.396, 0.441, 0.077)
Dy (0.756, 0.863, 0.507)
Dy (0.624, 0.788, 0.926)
Al (0.539, 0.509, 0.651)
Al (0.841, 0.142, 0.782)

Values from the calculation:
- symmetry = P-1 (2)
- formation energy without anion corrections (meV/atom) = -557
- DOS at the Fermi energy (states/eV/f.u.) = 1.2
- density (g/cm3) = 6.9
- crystal system = triclinic

---

(3)
This record from Alexandria describes a geometry-optimized PuScTe structure. The functional is PBE-GGA.

Cell: 4.316 3.723 16.797 Å, 90.00 90.00 90.00°
Each line ends with the local moment (μB).
Sites, in units of the cell vectors:
Te (0.196, 0.750, 0.856)  -0.01
Te (0.304, 0.750, 0.356)  -0.01
Te (0.804, 0.250, 0.144)  -0.01
Te (0.696, 0.250, 0.644)  -0.01
Pu (0.167, 0.250, 0.507)  1.56
Pu (0.333, 0.250, 0.007)  1.56
Pu (0.833, 0.750, 0.493)  1.56
Pu (0.667, 0.750, 0.993)  1.56
Sc (0.200, 0.750, 0.682)  -0.04
Sc (0.300, 0.750, 0.182)  -0.04
Sc (0.800, 0.250, 0.318)  -0.04
Sc (0.700, 0.250, 0.818)  -0.04

Values from the calculation:
- symmetry = Pnma (62)
- formation energy without anion corrections (meV/atom) = -540
- DOS at the Fermi energy (states/eV/f.u.) = 4.7
- density (g/cm3) = 10.3
- crystal system = orthorhombic

---

(4)
This record from Alexandria describes a geometry-optimized HfAl2Re structure. The functional is PBE-GGA.

Cell: 4.504 4.504 4.504 Å, 60.00 60.00 60.00°
Sites, in units of the cell vectors:
Re (0.500, 0.500, 0.500)
Hf (0.000, 0.000, 0.000)
Al (0.250, 0.250, 0.250)
Al (0.750, 0.750, 0.750)

Values from the calculation:
- DFT formation energy (eV/atom) = -0.1638
- symmetry = Fm-3m (225)
- DOS at the Fermi energy (states/eV/f.u.) = 1.9
- density (g/cm3) = 10.8
- crystal system = cubic

---

(5)
This record from Alexandria describes a geometry-optimized TlAu3I structure. The functional is PBE-GGA.

Cell: 5.361 5.361 5.361 Å, 90.00 90.00 90.00°
Sites, in units of the cell vectors:
I (0.500, 0.500, 0.500)
Tl (0.000, 0.000, 0.000)
Au (0.000, 0.500, 0.000)
Au (0.000, 0.000, 0.500)
Au (0.500, 0.000, 0.000)

Values from the calculation:
- symmetry = Pm-3m (221)
- formation energy without anion corrections (meV/atom) = 680
- DOS at the Fermi energy (states/eV/f.u.) = 4.7
- density (g/cm3) = 9.9
- crystal system = cubic

---

(6)
This record from Alexandria describes a geometry-optimized LiRhSCl2 structure. The functional is PBE-GGA.

Cell: 4.401 4.401 4.810 Å, 90.00 90.00 90.00°
Each line ends with the local moment (μB).
Sites, in units of the cell vectors:
S (0.000, 0.000, 0.500)  0.33
Li (0.000, 0.000, 0.000)  0.00
Rh (0.500, 0.500, 0.500)  1.61
Cl (0.000, 0.500, 0.000)  0.23
Cl (0.500, 0.000, 0.000)  0.23

Values from the calculation:
- symmetry = P4/mmm (123)
- formation energy without anion corrections (meV/atom) = 287
- DOS at the Fermi energy (states/eV/f.u.) = 5.6
- density (g/cm3) = 3.8
- crystal system = tetragonal

---

(7)
This record from Alexandria describes a geometry-optimized Ac4CeGe4 structure. The functional is PBE-GGA.

Cell: 6.446 9.562 9.562 Å, 90.00 90.00 90.00°
Each line ends with the local moment (μB).
Sites, in units of the cell vectors:
Ac (0.368, 0.293, 0.929)  0.03
Ac (0.868, 0.571, 0.793)  0.03
Ac (0.368, 0.707, 0.071)  0.03
Ac (0.132, 0.207, 0.571)  0.03
Ac (0.632, 0.929, 0.707)  0.03
Ac (0.132, 0.793, 0.429)  0.03
Ac (0.868, 0.429, 0.207)  0.03
Ac (0.632, 0.071, 0.293)  0.03
Ce (0.000, 0.000, 0.000)  0.69
Ce (0.500, 0.500, 0.500)  0.69
Ge (0.645, 0.753, 0.374)  0.01
Ge (0.645, 0.247, 0.626)  0.01
Ge (0.145, 0.874, 0.747)  0.01
Ge (0.855, 0.253, 0.874)  0.01
Ge (0.855, 0.747, 0.126)  0.01
Ge (0.355, 0.374, 0.247)  0.01
Ge (0.355, 0.626, 0.753)  0.01
Ge (0.145, 0.126, 0.253)  0.01

Values from the calculation:
- DFT formation energy (eV/atom) = -0.4998
- symmetry = P4_2/n (86)
- DOS at the Fermi energy (states/eV/f.u.) = 13.4
- density (g/cm3) = 7.5
- crystal system = tetragonal

---

(8)
This record from Alexandria describes a geometry-optimized BaSc2Hg structure. The functional is PBE-GGA.

Cell: 5.684 5.684 6.571 Å, 79.46 79.46 37.03°
Sites, in units of the cell vectors:
Ba (0.512, 0.512, 0.486)
Hg (0.264, 0.264, 0.175)
Sc (0.993, 0.993, 0.997)
Sc (0.730, 0.730, 0.842)

Values from the calculation:
- DFT formation energy (eV/atom) = 0.0797
- symmetry = Cm (8)
- DOS at the Fermi energy (states/eV/f.u.) = 6.4
- density (g/cm3) = 5.7
- crystal system = monoclinic

---

(9)
This record from Alexandria describes a geometry-optimized Be4SbRh2 structure. The functional is PBE-GGA.

Cell: 4.344 4.344 6.699 Å, 71.08 71.08 90.00°
Sites, in units of the cell vectors:
Sb (0.000, 0.000, 0.000)
Rh (0.614, 0.614, 0.773)
Rh (0.386, 0.386, 0.227)
Be (0.792, 0.792, 0.416)
Be (0.208, 0.208, 0.584)
Be (0.000, 0.500, 0.000)
Be (0.500, 0.000, 0.000)

Values from the calculation:
- symmetry = I4/mmm (139)
- formation energy without anion corrections (meV/atom) = 873
- DOS at the Fermi energy (states/eV/f.u.) = 2.4
- density (g/cm3) = 5.4
- crystal system = tetragonal

---

(10)
This record from Alexandria describes a geometry-optimized PmEr2Ga4 structure. The functional is PBE-GGA.

Cell: 4.141 4.281 9.561 Å, 102.94 102.51 90.00°
Sites, in units of the cell vectors:
Er (0.815, 0.815, 0.630)
Er (0.185, 0.185, 0.370)
Ga (0.648, 0.648, 0.297)
Ga (0.352, 0.352, 0.703)
Ga (0.068, 0.568, 0.136)
Ga (0.932, 0.432, 0.864)
Pm (0.500, 0.000, 0.000)

Values from the calculation:
- DFT formation energy (eV/atom) = -0.6496
- symmetry = Immm (71)
- DOS at the Fermi energy (states/eV/f.u.) = 4.5
- density (g/cm3) = 7.8
- crystal system = orthorhombic

---

(11)
This record from Alexandria describes a geometry-optimized GdHfCoCu structure. The functional is PBE-GGA.

Cell: 4.679 4.679 4.679 Å, 60.00 60.00 60.00°
Each line ends with the local moment (μB).
Sites, in units of the cell vectors:
Co (0.750, 0.750, 0.750)  -0.23
Gd (0.000, 0.000, 0.000)  7.03
Hf (0.500, 0.500, 0.500)  0.06
Cu (0.250, 0.250, 0.250)  0.01

Values from the calculation:
- DFT formation energy (eV/atom) = -0.1154
- symmetry = F-43m (216)
- DOS at the Fermi energy (states/eV/f.u.) = 2.7
- density (g/cm3) = 10.5
- crystal system = cubic

---

(12)
This record from Alexandria describes a geometry-optimized TiBeNbCo structure. The functional is PBE-GGA.

Cell: 4.272 4.272 4.272 Å, 60.00 60.00 60.00°
Each line ends with the local moment (μB).
Sites, in units of the cell vectors:
Be (0.500, 0.500, 0.500)  0.05
Nb (0.750, 0.750, 0.750)  0.14
Co (0.000, 0.000, 0.000)  1.40
Ti (0.250, 0.250, 0.250)  0.28

Values from the calculation:
- DFT formation energy (eV/atom) = -0.0879
- symmetry = F-43m (216)
- DOS at the Fermi energy (states/eV/f.u.) = 1.8
- density (g/cm3) = 6.3
- crystal system = cubic

---

What did the first record say?
This record from Alexandria describes a geometry-optimized H3RuPt structure. The functional is PBE-GGA.

Cell: 3.490 3.490 3.490 Å, 90.00 90.00 90.00°
Each line ends with the local moment (μB).
Sites, in units of the cell vectors:
Ru (0.500, 0.500, 0.500)  1.53
Pt (0.000, 0.000, 0.000)  0.07
H (0.000, 0.500, 0.000)  0.00
H (0.000, 0.000, 0.500)  0.00
H (0.500, 0.000, 0.000)  0.01

Values from the calculation:
- symmetry = Pm-3m (221)
- DOS at the Fermi energy (states/eV/f.u.) = 3.4
- total energy (eV/cell) = -23.17
- density (g/cm3) = 11.7
- crystal system = cubic